1.
A plane-wave DFT calculation with GGA-PBEsol was carried out for a relaxed GaIrW3 crystal.

a b c (Å): 4.4475 4.4475 4.4475
angles (deg): 90.00 90.00 90.00
With the nearest neighbours (Å) after each atom.
Space group Pm-3m (No. 221)
One atom of each set of equivalent atoms:
1 Ga 0.0000 0.0000 0.0000 (multiplicity 1)  6 W 2.22
2 Ir 0.5000 0.5000 0.5000 (multiplicity 1)  12 W 3.14
3 W 0.0000 0.0000 0.5000 (multiplicity 3)  2 Ga 2.22

2.
A plane-wave DFT calculation with GGA-PBEsol was carried out for a relaxed TaInCo2 crystal.

a b c (Å): 3.0780 3.0780 6.0473
angles (deg): 90.00 90.00 90.00
With the nearest neighbours (Å) after each atom.
Space group P4/mmm (No. 123)
One atom of each set of equivalent atoms:
1 Ta 0.0000 0.0000 0.0000 (multiplicity 1)  8 Co 2.55
2 In 0.0000 0.0000 0.5000 (multiplicity 1)  8 Co 2.75, 2 Ta 3.02, 4 In 3.08
3 Co 0.5000 0.5000 0.2210 (multiplicity 2)  4 Ta 2.55, 1 Co 2.67, 4 In 2.75

3.
A plane-wave DFT calculation with GGA-PBEsol was carried out for a relaxed SrZrCd3 crystal.

a b c (Å): 5.4528 5.4528 5.4528
angles (deg): 90.00 90.00 90.00
With the nearest neighbours (Å) after each atom.
Space group Pm-3m (No. 221)
One atom of each set of equivalent atoms:
1 Sr 0.0000 0.0000 0.0000 (multiplicity 1)  12 Cd 3.86
2 Zr 0.5000 0.5000 0.5000 (multiplicity 1)  6 Cd 2.73
3 Cd 0.0000 0.5000 0.5000 (multiplicity 3)  2 Zr 2.73

4.
A plane-wave DFT calculation with GGA-PBEsol was carried out for a relaxed EuSnPt crystal.

a b c (Å): 7.3364 4.6240 7.9382
angles (deg): 90.00 90.00 90.00
With the nearest neighbours (Å) after each atom.
Space group Pnma (No. 62)
One atom of each set of equivalent atoms:
1 Eu 0.0188 0.2500 0.1888 (multiplicity 4)  5 Pt 3.03-3.31, 6 Sn 3.27-3.37
2 Sn 0.1685 0.2500 0.5774 (multiplicity 4)  4 Pt 2.71-2.79
3 Pt 0.2109 0.7500 0.3998 (multiplicity 4)  4 Sn 2.71-2.79

5.
A plane-wave DFT calculation with GGA-PBEsol was carried out for a relaxed YSi2Pt2 crystal.

a b c (Å): 4.1957 4.1957 9.8312
angles (deg): 90.00 90.00 90.00
With the nearest neighbours (Å) after each atom.
Space group I4/mmm (No. 139)
One atom of each set of equivalent atoms:
1 Y 0.0000 0.0000 0.0000 (multiplicity 2)  8 Si 3.23, 10 Pt 3.25-3.60
2 Si 0.0000 0.5000 0.2500 (multiplicity 4)  4 Pt 2.39
3 Pt 0.0000 0.0000 0.3661 (multiplicity 4)  4 Si 2.39, 1 Pt 2.63

6.
A plane-wave DFT calculation with GGA-PBEsol was carried out for a relaxed AlZnSb2 crystal.

Properties
Energy relative to the lowest polymorph listed for this composition: 0.0 meV per atom

a b c (Å): 6.1486 6.1486 11.9512
angles (deg): 90.00 90.00 90.00
With the nearest neighbours (Å) after each atom.
Space group I-42d (No. 122)
One atom of each set of equivalent atoms:
1 Al 0.0000 0.0000 0.0000 (multiplicity 4)  4 Sb 2.67
2 Zn 0.0000 0.0000 0.5000 (multiplicity 4)  4 Sb 2.61
3 Sb 0.2419 0.2500 0.6250 (multiplicity 8)  2 Zn 2.61, 2 Al 2.67

Result set for raw total energy: -8.99; -7.89; -2.49; -8.23; -7.50; -3.65 eV/atom, one per record in the order listed.